[1]
First-principles (GGA-PBE) data for a geometry-optimized SbSe2 structure, as listed in Alexandria via LeMat-Bulk.

```
6
Lattice="-3.2198 2.3174 0.2764 0.0789 -0.6410 6.2942 3.8555 5.2982 0.4913" Properties=species:S:1:pos:R:3 pbc="T T T"
Se 1.1426 4.2553 6.2404
Se -0.4281 2.7193 0.8215
Se 3.1356 3.9978 3.0089
Sb 0.0000 0.0000 0.0000
Sb 0.3573 3.4873 3.5309
Se 0.7987 0.6594 3.7765
```

Values from the calculation:
- M_tot: 0.00 μB per formula unit

[2]
First-principles (GGA-PBE) data for a geometry-optimized Sb3Se structure, as listed in Alexandria via LeMat-Bulk.

```
4
Lattice="4.3831 0.0000 0.0000 0.0000 5.2263 -0.0136 0.0000 1.7287 4.9837" Properties=species:S:1:pos:R:3 pbc="T T T"
Sb 0.0000 3.4435 2.4933
Sb 0.0000 1.7627 4.9754
Se 2.1916 1.7388 1.2425
Sb 2.1916 5.2163 3.7276
```

Values from the calculation:
- M_tot: 0.00 μB per formula unit
- Relative energy among the computed polymorphs: 0.06 eV/f.u.

[3]
First-principles (GGA-PBE) data for a geometry-optimized Sb2Se structure, as listed in Alexandria via LeMat-Bulk.

```
6
Lattice="4.4262 -0.0503 0.0090 0.5628 5.7452 0.0107 1.9736 0.1911 7.6374" Properties=species:S:1:pos:R:3 pbc="T T T"
Se 1.5579 2.0554 3.6418
Sb 3.5418 5.0881 5.7704
Sb 4.3172 2.5606 6.9613
Sb 4.6967 1.6790 1.3575
Se 3.6126 4.0473 0.9984
Sb 5.7779 4.6711 3.8517
```

Values from the calculation:
- M_tot: 0.00 μB per formula unit

[4]
First-principles (GGA-PBE) data for a geometry-optimized Sb2Se structure, as listed in Alexandria via LeMat-Bulk.

```
12
Lattice="-3.9581 -3.6199 -1.6784 3.2528 -1.4782 -4.4826 4.5678 -7.7103 5.8572" Properties=species:S:1:pos:R:3 pbc="T T T"
Se 3.9899 -10.7103 -0.4242
Se 1.3788 -8.3091 0.5544
Sb 1.5219 -4.6562 1.7483
Sb 1.2006 -2.1076 -2.9905
Se 2.4837 -4.4993 -0.8582
Sb 2.3407 -8.1523 -2.0521
Sb 0.3794 -5.9272 -2.2261
Sb 2.6620 -10.7008 2.6867
Sb 5.5670 -8.3925 0.2676
Se -0.1273 -2.0981 0.1204
Sb 3.4831 -6.8813 1.9223
Sb -1.7044 -4.4159 -0.5713
```

Values from the calculation:
- M_tot: 0.00 μB per formula unit

[5]
First-principles (GGA-PBE) data for a geometry-optimized Sb5Se structure, as listed in Alexandria via LeMat-Bulk.

```
6
Lattice="-2.6197 -1.1738 -2.3391 0.3846 -3.4464 1.2987 -7.9980 2.0880 7.9096" Properties=species:S:1:pos:R:3 pbc="T T T"
Sb -6.7554 1.7636 6.6807
Se -1.1175 -2.3101 -0.5202
Sb -3.7262 -1.6291 2.0596
Sb -3.9990 1.0440 3.9548
Sb -1.2426 0.3244 1.2289
Sb -6.5069 -0.9031 4.8096
```

Values from the calculation:
- M_tot: 0.00 μB per formula unit
- Relative energy among the computed polymorphs: 1.18 eV/f.u.

[6]
First-principles (GGA-PBE) data for a geometry-optimized Sb4Se3 structure, as listed in Alexandria via LeMat-Bulk.

```
7
Lattice="-1.8845 1.8845 13.8973 1.8845 -1.8845 13.8973 1.8845 1.8845 -13.8973" Properties=species:S:1:pos:R:3 pbc="T T T"
Sb 0.0000 0.0000 4.0924
Sb 0.0000 0.0000 23.7023
Se 0.0000 0.0000 19.0674
Sb 0.0000 0.0000 15.3879
Se 0.0000 0.0000 8.7273
Se 0.0000 0.0000 0.0000
Sb 0.0000 0.0000 12.4067
```

Values from the calculation:
- M_tot: 0.00 μB per formula unit

[7]
First-principles (GGA-PBE) data for a geometry-optimized SbSe2 structure, as listed in Alexandria via LeMat-Bulk.

```
12
Lattice="-0.6269 -7.5937 -1.0250 0.3771 2.9011 7.1098 -6.8123 0.5436 0.1395" Properties=species:S:1:pos:R:3 pbc="T T T"
Sb -3.7585 -3.8189 1.7576
Se -5.2588 -1.6889 0.9681
Se -5.3808 -3.9792 3.9378
Se -3.4062 0.2718 0.0697
Sb -0.0176 -0.5924 4.3994
Se -5.5648 -5.3951 0.4678
Se -1.4973 1.2461 5.7565
Sb -3.3037 -0.3302 4.4667
Se -1.6814 -0.1698 2.2865
Se -1.8033 -2.4601 5.2563
Sb -7.0445 -3.5567 1.8249
Se 0.0000 0.0000 0.0000
```

Values from the calculation:
- M_tot: 0.00 μB per formula unit

[8]
First-principles (GGA-PBE) data for a geometry-optimized Sb3Se structure, as listed in Alexandria via LeMat-Bulk.

```
4
Lattice="6.8112 -0.0158 -0.0434 5.4416 4.0965 -0.0434 -1.3540 -0.4510 4.0927" Properties=species:S:1:pos:R:3 pbc="T T T"
Sb 2.7220 0.9066 1.0003
Se 0.0000 0.0000 0.0000
Sb 5.4494 1.8149 2.0029
Sb 8.1768 2.7233 3.0055
```

Values from the calculation:
- M_tot: 0.00 μB per formula unit
- Relative energy among the computed polymorphs: 0.06 eV/f.u.

[9]
First-principles (GGA-PBE) data for a geometry-optimized Sb2Se structure, as listed in Alexandria via LeMat-Bulk.

```
6
Lattice="1.4731 -1.4494 -6.1069 4.8613 -2.2518 -3.5863 0.5350 -7.8365 -3.2138" Properties=species:S:1:pos:R:3 pbc="T T T"
Se 3.6729 -3.3478 -6.0029
Sb 1.9181 -7.1691 -4.8606
Se 3.1965 -8.1898 -6.9041
Sb 4.9514 -4.3686 -8.0464
Sb 1.0011 -4.4454 -2.7608
Sb 5.8684 -7.0922 -10.1462
```

Values from the calculation:
- M_tot: 0.00 μB per formula unit

[10]
First-principles (GGA-PBE) data for a geometry-optimized Sb3Se structure, as listed in Alexandria via LeMat-Bulk.

```
8
Lattice="-1.6576 6.1547 -2.1456 -4.5610 -4.9413 -0.1103 -1.5799 1.3449 5.0787" Properties=species:S:1:pos:R:3 pbc="T T T"
Sb -2.4960 4.7963 -0.5650
Se -3.8103 3.4648 2.3419
Sb -2.8313 0.4393 3.4476
Sb -5.3025 -2.2379 3.3879
Se -3.9882 -0.9064 0.4809
Sb -4.9672 2.1190 -0.6248
Sb -1.5979 1.4616 0.5974
Sb -6.2006 1.0968 2.2254
```

Values from the calculation:
- M_tot: 0.00 μB per formula unit
- Relative energy among the computed polymorphs: 1.06 eV/f.u.

[11]
First-principles (GGA-PBE) data for a geometry-optimized Sb2Se structure, as listed in Alexandria via LeMat-Bulk.

```
6
Lattice="5.1936 0.0043 0.0055 1.1332 5.9599 0.0613 1.9375 1.7164 6.4397" Properties=species:S:1:pos:R:3 pbc="T T T"
Se 5.0673 1.5519 2.0101
Sb 2.4013 3.5768 4.3860
Sb 5.4323 3.2876 6.3292
Se 3.1970 6.1287 4.4965
Sb 2.8320 4.3930 0.1773
Sb 5.8630 4.1039 2.1206
```

Values from the calculation:
- M_tot: 0.00 μB per formula unit

[12]
First-principles (GGA-PBE) data for a geometry-optimized SbSe3 structure, as listed in Alexandria via LeMat-Bulk.

```
4
Lattice="-0.0925 0.5687 -4.4258 -1.9238 -3.9992 -0.4737 -4.0261 1.8979 0.3280" Properties=species:S:1:pos:R:3 pbc="T T T"
Se -1.0082 -1.7153 -2.4497
Se -2.0593 1.2333 -2.0489
Sb 0.0000 0.0000 0.0000
Se -2.9750 -1.0507 -0.0728
```

Values from the calculation:
- M_tot: 0.00 μB per formula unit
- Relative energy among the computed polymorphs: 1.86 eV/f.u.

Number 1: D(E_F) 0.757 states/eV per atom, raw formation energy -0.038 eV/atom, total DFT energy (no corrections) -22.4 eV/cell. Number 2: D(E_F) 0.541 states/eV per atom, raw formation energy 0.003 eV/atom, total DFT energy (no corrections) -15.8 eV/cell. Number 3: D(E_F) 0.014 states/eV per atom, raw formation energy -0.017 eV/atom, total DFT energy (no corrections) -23.6 eV/cell. Number 4: D(E_F) 0.357 states/eV per atom, raw formation energy 0.067 eV/atom, total DFT energy (no corrections) -46.1 eV/cell. Number 5: D(E_F) 0.647 states/eV per atom, raw formation energy 0.208 eV/atom, total DFT energy (no corrections) -22.8 eV/cell. Number 6: D(E_F) 0.469 states/eV per atom, raw formation energy 0.109 eV/atom, total DFT energy (no corrections) -26.2 eV/cell. Number 7: D(E_F) 0.616 states/eV per atom, raw formation energy 0.113 eV/atom, total DFT energy (no corrections) -43.0 eV/cell. Number 8: D(E_F) 0.524 states/eV per atom, raw formation energy 0.005 eV/atom, total DFT energy (no corrections) -15.8 eV/cell. Number 9: D(E_F) 0.540 states/eV per atom, raw formation energy -0.017 eV/atom, total DFT energy (no corrections) -23.6 eV/cell. Number 10: D(E_F) 0.671 states/eV per atom, raw formation energy 0.253 eV/atom, total DFT energy (no corrections) -29.7 eV/cell. Number 11: D(E_F) 0.055 states/eV per atom, raw formation energy -0.040 eV/atom, total DFT energy (no corrections) -23.7 eV/cell. Number 12: D(E_F) 1.101 states/eV per atom, raw formation energy 0.485 eV/atom, total DFT energy (no corrections) -12.6 eV/cell.